First-principles (GGA-PBE) data for a relaxed structure of CaNdZn2, as listed in Alexandria.

Values from the calculation:
Size of the total moment, μB per cell: 0.0
Formation energy from the elements, eV per atom: -0.06
Density of states at the Fermi level, states/eV per atom: 1.07
Excess energy over the best structure of this formula in the dataset, meV per atom: 239
Uncorrected energy, eV per formula unit: -9.56

Lattice parameters (Å, degrees): 4.0109 4.0109 24.5988 90.00 90.00 120.00
Space group R-3m (No. 166, hexagonal axes)
Asymmetric unit:
1 Ca 0.0000 0.0000 0.0000 (multiplicity 3)
2 Nd 0.0000 0.0000 0.5000 (multiplicity 3)
3 Zn 0.0000 0.0000 0.2488 (multiplicity 6)